Entry i
ZrP2Pt PBE optimized geometry; space-group type = No. 225; crystal system = cubic
1.0
2.1920 -0.7574 3.8324
-1.9873 0.8522 3.9231
-1.2445 -3.3814 2.6615
P Zr Pt
2 1 1
direct
0.2500 0.2500 0.2500
0.7500 0.7500 0.7500
0.0000 0.0000 0.0000
0.5000 0.5000 0.5000

***

Entry ii
ZrP2Pt PBE optimized geometry; space-group type = No. 44; crystal system = orthorhombic
1.0
-0.2865 5.6657 1.4519
-4.6910 3.3697 0.9644
2.5704 -5.1200 1.2121
P Pt Zr
2 1 1
direct
0.9735 0.9735 0.0000
0.7071 0.2072 0.5000
0.5308 0.5308 0.0000
0.2885 0.7885 0.5000

***

Unit: kJ/mol of atoms. Relative energies: entry i 25.6; entry ii 0.0.

***

Entry i
ZrP2Pt PBE optimized geometry; space-group type = No. 216; crystal system = cubic
1.0
-0.6629 3.8802 -2.3114
-3.9697 0.7387 -2.1291
-2.8979 3.1432 1.6000
P Zr Pt
2 1 1
direct
0.2500 0.2500 0.2500
0.0000 0.0000 0.0000
0.7500 0.7500 0.7500
0.5000 0.5000 0.5000

***

Entry ii
ZrP2Pt PBE optimized geometry; space-group type = No. 122; crystal system = tetragonal
1.0
-3.6756 3.9253 -2.1791
-1.2330 -3.5905 -4.3880
-6.3337 -1.9144 -0.4900
Zr Pt P
2 2 4
direct
0.5000 0.5000 0.0000
0.2500 0.7500 0.5000
0.0000 0.0000 0.0000
0.7500 0.2500 0.5000
0.6576 0.1250 0.2500
0.0924 0.6250 0.2500
0.8750 0.9076 0.7500
0.3750 0.3424 0.7500

***

Unit: kJ/mol of atoms. Relative energies: entry i 22.7; entry ii 0.0.